# K2Zr | Alexandria | PBEsol | optimized geometry
# total energy	-19.81	eV per cell
# formation energy from the elements	0.483	eV/atom
# distance to the lowest polymorph of the same formula	0	meV/atom
data_K2Zr
_chemical_formula_sum 'K4 Zr2'
_cell_length_a 18.175
_cell_length_b 18.175
_cell_length_c 4.363
_cell_angle_alpha 90.00
_cell_angle_beta 90.00
_cell_angle_gamma 168.70
_symmetry_space_group_name_H-M 'P 1'
_symmetry_Int_Tables_number 1
loop_
_symmetry_equiv_pos_as_xyz
'x,y,z'
loop_
_atom_site_label
_atom_site_type_symbol
_atom_site_fract_x
_atom_site_fract_y
_atom_site_fract_z
K1 K 0.053 0.947 0.750
K2 K 0.341 0.659 0.750
K3 K 0.659 0.341 0.250
K4 K 0.947 0.053 0.250
Zr1 Zr 0.253 0.747 0.250
Zr2 Zr 0.747 0.253 0.750